VASP calculation (PBEsol) on crystalline LiReNi at its relaxed geometry.

```
data_LiReNi
_chemical_formula_sum 'Li4 Re4 Ni4'
_cell_length_a 5.4295
_cell_length_b 5.4295
_cell_length_c 5.4295
_cell_angle_alpha 90.00
_cell_angle_beta 90.00
_cell_angle_gamma 90.00
_symmetry_space_group_name_H-M 'F -4 3 m'
_symmetry_Int_Tables_number 216
_symmetry_space_group_name_Hall 'F -4 2 3'
loop_
_atom_site_label
_atom_site_type_symbol
_atom_site_fract_x
_atom_site_fract_y
_atom_site_fract_z
_atom_site_occupancy
Li1 Li 0.0000 0.0000 0.0000 1
Re1 Re 0.0000 0.0000 0.5000 1
Ni1 Ni 0.2500 0.2500 0.7500 1
```

Computed properties:
ρ ... 10.45 g cm⁻³
ΔE_f ... 0.6910 eV/atom
E above lowest polymorph ... 434 meV/atom